# Na2LaSnS4

An optimized crystal structure of Na2LaSnS4 (PBE, Alexandria via LeMat-Bulk).

```
8
Lattice="-1.415 0.011 -3.830 6.587 -1.130 -2.436 1.166 -6.983 -0.451" Properties=species:S:1:pos:R:3 pbc="T T T"
Na 1.166 -6.983 -0.451
Na -0.124 -3.486 -2.140
La 3.876 -4.057 -1.443
Sn 3.752 -7.543 -3.584
S 5.707 -6.178 -2.126
S 0.631 -1.925 -4.591
S 4.404 -2.522 -3.810
S 1.934 -5.580 -2.906
```

## Properties
V: 24.3 A^3/atom
space group: P2/m
ΔE_f (raw): -1.256 eV/atom

---

# Dy6Ag5Pd

An optimized crystal structure of Dy6Ag5Pd (PBE, Alexandria via LeMat-Bulk).

```
12
Lattice="4.847 -0.029 1.615 0.039 7.216 0.013 -0.007 -0.014 8.100" Properties=species:S:1:pos:R:3 pbc="T T T"
Pd 0.000 0.000 0.000
Ag 3.251 3.579 6.467
Ag 1.589 -0.014 3.313
Ag 0.019 3.608 0.006
Ag 3.252 -0.029 6.402
Ag 1.628 3.594 3.261
Dy 4.086 5.405 3.997
Dy 4.066 1.754 3.990
Dy 2.433 1.736 0.811
Dy 2.453 5.452 0.817
Dy 0.813 5.419 5.737
Dy 0.793 1.769 5.731
```

## Properties
formation energy: -0.417 eV/atom
V: 23.6 A^3/atom
space group: Cmmm

---

# Dy4Y3Cd

An optimized crystal structure of Dy4Y3Cd (PBE, Alexandria via LeMat-Bulk).

```
8
Lattice="-2.762 -0.367 -6.769 -2.392 -2.974 6.246 -1.057 7.211 0.681" Properties=species:S:1:pos:R:3 pbc="T T T"
Dy -3.338 4.672 3.054
Dy -2.137 3.197 0.642
Dy -2.254 0.918 -1.684
Dy -2.088 -0.398 4.822
Y -2.875 4.789 -2.263
Y -3.552 6.366 -5.662
Y -3.979 0.233 1.396
Cd -1.768 2.197 3.394
```

## Properties
formation energy: 0.352 eV/atom
V: 33.7 A^3/atom
space group: Imm2

---

# BaSmHf4O12

An optimized crystal structure of BaSmHf4O12 (PBE, Alexandria via LeMat-Bulk).

```
18
Lattice="4.103 -4.115 0.000 4.103 4.115 0.000 0.000 0.000 8.197" Properties=species:S:1:pos:R:3 pbc="T T T"
Ba 4.103 0.196 0.000
Sm 4.103 3.841 4.098
Hf 6.064 -2.070 6.118
Hf 6.064 -2.070 2.079
Hf 2.141 -2.070 2.079
Hf 2.141 -2.070 6.118
O 5.951 0.002 6.122
O 2.255 0.002 6.122
O 2.255 0.002 2.074
O 5.951 0.002 2.074
O 4.103 2.274 6.173
O 4.103 -2.466 5.668
O 4.103 -2.466 2.529
O 4.103 2.274 2.024
O 5.968 -2.028 0.000
O 2.387 2.285 4.098
O 2.238 -2.028 0.000
O 5.819 2.285 4.098
```

## Properties
V: 15.4 A^3/atom
space group: Amm2
ΔE_f (raw): -2.959 eV/atom

---

# La2SbAs3Ir4

An optimized crystal structure of La2SbAs3Ir4 (PBE, Alexandria via LeMat-Bulk).

```
10
Lattice="-0.190 -1.884 3.870 -1.788 -3.489 -1.786 9.676 -4.165 -1.553" Properties=species:S:1:pos:R:3 pbc="T T T"
La 2.232 -1.943 1.561
La 6.455 -4.907 -2.073
Sb 3.849 -4.769 0.265
As 4.838 -2.082 -0.777
As 8.288 -4.550 0.589
As 0.399 -2.301 -1.101
Ir -0.989 -2.686 1.042
Ir 0.000 0.000 0.000
Ir 6.066 -3.594 0.946
Ir 2.621 -3.257 -1.457
```

## Properties
V: 19.8 A^3/atom
space group: P-4m2
ΔE_f (raw): -0.724 eV/atom

---

# LiCuSb2

An optimized crystal structure of LiCuSb2 (PBE, Alexandria via LeMat-Bulk).

```
4
Lattice="4.242 0.000 0.000 2.121 3.674 0.000 2.121 1.225 5.563" Properties=species:S:1:pos:R:3 pbc="T T T"
Li 4.242 2.449 2.778
Cu 4.242 2.449 0.007
Sb 2.121 1.225 4.300
Sb 2.121 1.225 1.259
```

## Properties
V: 21.7 A^3/atom
space group: R3m
distance to the lowest polymorph of the same formula: 0.04 eV per formula unit
ΔE_f (raw): -0.101 eV/atom

---

# HfPtN2

An optimized crystal structure of HfPtN2 (PBE, Alexandria via LeMat-Bulk).

```
8
Lattice="-0.531 4.699 0.147 -1.187 -0.277 4.572 4.029 2.723 3.660" Properties=species:S:1:pos:R:3 pbc="T T T"
Hf -0.859 2.211 2.359
Hf 0.992 2.328 5.295
Pt 0.000 0.000 0.000
Pt 1.320 4.816 3.083
N 0.534 3.521 1.576
N 0.192 1.157 3.793
N 2.362 3.697 4.575
N 1.534 5.915 6.813
```

## Properties
V: 14.2 A^3/atom
space group: I-42d
distance to the lowest polymorph of the same formula: 0.79 eV per formula unit
ΔE_f (raw): -0.324 eV/atom

---

# Sr3TlO

An optimized crystal structure of Sr3TlO (PBE, Alexandria via LeMat-Bulk).

```
20
Lattice="-18.607 -3.419 9.148 -1.150 -5.578 4.542 5.819 2.303 3.730" Properties=species:S:1:pos:R:3 pbc="T T T"
Sr -8.945 -3.349 9.412
Sr -12.278 -6.472 16.159
Sr -4.994 -3.345 8.008
Sr -1.661 -0.223 1.261
Sr -9.998 -4.226 13.122
Sr -13.245 -4.178 8.872
Sr -3.941 -2.469 4.298
Sr -0.694 -2.517 8.548
Sr -14.298 -5.055 12.581
Sr -10.964 -1.933 5.834
Sr 0.359 -1.640 4.839
Sr -2.974 -4.762 11.586
Tl -6.242 -5.264 10.592
Tl 1.607 0.279 2.255
Tl -7.697 -1.431 6.828
Tl -15.546 -6.973 15.166
O -9.466 -2.522 11.527
O -4.473 -4.173 5.893
O -13.777 -5.882 10.467
O -0.162 -0.813 6.953
```

## Properties
V: 37.5 A^3/atom
space group: C2/m
ΔE_f (raw): -1.198 eV/atom

---

# KTlGa2

An optimized crystal structure of KTlGa2 (PBE, Alexandria via LeMat-Bulk).

```
4
Lattice="3.397 -2.853 -2.942 -0.023 -5.314 0.310 -1.801 -2.897 -4.086" Properties=species:S:1:pos:R:3 pbc="T T T"
Tl 0.786 -5.532 -3.359
K 0.000 0.000 0.000
Ga 0.393 -2.766 -1.680
Ga 1.180 -8.298 -5.039
```

## Properties
formation energy: 0.104 eV/atom
V: 26.7 A^3/atom
space group: Fm-3m
distance to the lowest polymorph of the same formula: 0.82 eV per formula unit

---

# GdPaZn2

An optimized crystal structure of GdPaZn2 (PBE, Alexandria via LeMat-Bulk).

```
4
Lattice="3.203 0.000 0.000 0.000 3.203 0.000 0.000 0.000 8.504" Properties=species:S:1:pos:R:3 pbc="T T T"
Gd 1.601 1.601 4.252
Zn 0.000 0.000 6.386
Zn 0.000 0.000 2.118
Pa 1.601 1.601 0.000
```

## Properties
formation energy: -0.111 eV/atom
V: 21.8 A^3/atom
space group: P4/mmm
distance to the lowest polymorph of the same formula: 0.00 eV per formula unit

---

# Re2HgTe

An optimized crystal structure of Re2HgTe (PBE, Alexandria via LeMat-Bulk).

```
4
Lattice="3.133 0.000 0.000 0.000 5.011 0.000 0.000 0.000 4.738" Properties=species:S:1:pos:R:3 pbc="T T T"
Hg 0.000 2.505 2.369
Re 0.000 0.000 0.000
Re 1.567 2.505 0.000
Te 1.567 0.000 2.369
```

## Properties
V: 18.6 A^3/atom
space group: Pmmm
distance to the lowest polymorph of the same formula: 3.55 eV per formula unit
ΔE_f (raw): 1.253 eV/atom

---

# Dy2Er2Tm2In

An optimized crystal structure of Dy2Er2Tm2In (PBE, Alexandria via LeMat-Bulk).

```
7
Lattice="-1.555 0.420 -3.178 5.807 -1.878 -1.092 -7.200 -8.317 2.423" Properties=species:S:1:pos:R:3 pbc="T T T"
Dy -5.897 -6.093 0.083
Dy 2.949 -3.682 -1.929
Er 0.420 -1.131 -2.352
Er -3.368 -8.644 0.505
Tm -2.821 -5.828 -1.388
Tm -0.128 -3.947 -0.459
In -3.600 -4.159 1.212
```

## Properties
formation energy: -0.021 eV/atom
V: 30.7 A^3/atom
space group: C2/m

---

# KCuSbSe3

An optimized crystal structure of KCuSbSe3 (PBE, Alexandria via LeMat-Bulk).

```
12
Lattice="-3.016 -2.690 0.270 6.213 -6.766 1.973 -2.837 3.990 8.063" Properties=species:S:1:pos:R:3 pbc="T T T"
K -0.210 -1.051 2.377
K 0.569 -4.416 7.930
Cu -1.955 1.156 4.878
Cu 2.314 -6.623 5.429
Sb 2.979 -4.607 2.563
Sb -2.619 -0.860 7.744
Se 2.778 -7.377 3.094
Se -2.418 1.910 7.213
Se 2.869 -4.196 5.426
Se -2.510 -1.270 4.881
Se 0.110 -4.452 2.443
Se 0.249 -1.014 7.864
```

## Properties
V: 28.3 A^3/atom
space group: P2_1/m
ΔE_f (raw): -0.503 eV/atom

---

# CaMg4Ag4

An optimized crystal structure of CaMg4Ag4 (PBE, Alexandria via LeMat-Bulk).

```
18
Lattice="5.076 0.000 0.000 0.000 9.331 0.000 0.000 0.000 9.331" Properties=species:S:1:pos:R:3 pbc="T T T"
Ca 0.000 0.000 0.000
Ca 2.538 4.665 4.665
Mg 2.538 3.539 8.401
Mg 0.000 5.595 8.204
Mg 2.538 5.792 0.930
Mg 5.076 1.126 5.595
Mg 2.538 8.401 5.792
Mg 5.076 8.204 3.735
Mg 0.000 3.735 1.126
Mg 2.538 0.930 3.539
Ag 2.538 7.488 2.987
Ag 2.538 1.842 6.343
Ag 5.076 7.653 6.508
Ag 0.000 2.823 7.653
Ag 0.000 6.508 1.678
Ag 2.538 2.987 1.842
Ag 2.538 6.343 7.488
Ag 5.076 1.678 2.823
```

## Properties
formation energy: -0.066 eV/atom
V: 24.6 A^3/atom
space group: I4/m

---

# Na2TlCd

An optimized crystal structure of Na2TlCd (PBE, Alexandria via LeMat-Bulk).

```
4
Lattice="-2.135 3.299 -0.362 -2.171 -1.713 -2.814 -4.482 -2.364 4.898" Properties=species:S:1:pos:R:3 pbc="T T T"
Na -3.376 -1.780 3.689
Na -1.107 -0.584 1.209
Tl -4.394 -0.389 0.861
Cd -2.153 0.793 -1.588
```

## Properties
formation energy: -0.071 eV/atom
V: 27.4 A^3/atom
space group: P4/mmm

---

# NaLa2IrPb

An optimized crystal structure of NaLa2IrPb (PBE, Alexandria via LeMat-Bulk).

```
5
Lattice="-1.223 -4.729 -2.547 3.127 -2.751 3.606 -4.240 -0.626 3.199" Properties=species:S:1:pos:R:3 pbc="T T T"
Pb -1.168 -4.053 2.129
Na -2.120 -0.313 1.599
Ir 0.000 0.000 0.000
La 1.563 -1.376 1.803
La -0.612 -2.365 -1.274
```

## Properties
formation energy: -0.317 eV/atom
V: 32.5 A^3/atom
space group: P4/mmm

---

# LiTeOs

An optimized crystal structure of LiTeOs (PBE, Alexandria via LeMat-Bulk).

```
3
Lattice="3.144 0.000 0.000 -1.572 2.723 0.000 0.000 0.000 6.563" Properties=species:S:1:pos:R:3 pbc="T T T"
Li 0.000 0.000 0.161
Os 0.000 1.815 2.236
Te 1.572 0.908 4.166
```

## Properties
V: 18.7 A^3/atom
space group: P3m1
distance to the lowest polymorph of the same formula: 0.66 eV per formula unit
ΔE_f (raw): 0.433 eV/atom

---

# LiCaSn2Hg4

An optimized crystal structure of LiCaSn2Hg4 (PBE, Alexandria via LeMat-Bulk).

```
8
Lattice="-4.779 3.993 -0.580 0.118 -4.929 -3.848 -0.876 -2.779 6.274" Properties=species:S:1:pos:R:3 pbc="T T T"
Li -3.992 0.373 1.740
Ca -2.330 -0.468 -2.214
Sn -1.544 -4.088 0.106
Sn 0.000 0.000 0.000
Hg -5.568 -1.223 3.736
Hg -2.416 1.969 -0.256
Hg -3.980 -2.139 -0.124
Hg -1.556 -1.575 1.970
```

## Properties
formation energy: -0.164 eV/atom
V: 26.5 A^3/atom
space group: F222

---

# TeS4N4Cl4

An optimized crystal structure of TeS4N4Cl4 (PBE, Alexandria via LeMat-Bulk).

```
26
Lattice="6.167 6.885 -0.197 -6.167 6.885 -0.197 0.000 1.286 7.670" Properties=species:S:1:pos:R:3 pbc="T T T"
Te -1.570 12.040 4.212
Te 1.570 11.397 0.377
S -2.856 11.433 7.325
S 0.503 4.123 6.622
S 3.255 7.227 6.781
S -3.255 6.584 2.946
S -0.503 3.480 2.787
S -0.441 6.351 1.986
S 0.441 6.994 5.821
S 2.856 10.791 3.490
N -1.829 3.340 3.597
N 3.623 5.667 6.325
N -0.274 4.769 1.875
N 0.274 5.411 5.709
N 1.752 7.598 6.414
N -1.752 6.955 2.579
N -3.623 5.024 2.490
N 1.829 3.983 7.432
Cl 0.135 13.371 0.964
Cl -2.946 7.318 7.179
Cl -0.123 10.646 5.770
Cl 3.211 9.510 0.245
Cl 2.946 6.675 3.344
Cl -3.211 10.153 4.080
Cl 0.123 10.003 1.935
Cl -0.135 14.014 4.799
```

## Properties
V: 25.2 A^3/atom
space group: Cc
ΔE_f (raw): 0.096 eV/atom

---

# CuSnPbCl5

An optimized crystal structure of CuSnPbCl5 (PBE, Alexandria via LeMat-Bulk).

```
16
Lattice="-4.927 1.424 -5.272 3.169 -6.399 -1.762 -5.710 -2.349 7.933" Properties=species:S:1:pos:R:3 pbc="T T T"
Cu -3.819 -1.613 -2.190
Cu -3.649 -5.711 3.089
Sn -1.270 -4.076 -1.084
Sn -6.197 -3.248 1.983
Pb -2.855 -1.174 3.966
Pb 0.000 0.000 0.000
Cl 0.753 -6.031 -0.207
Cl -8.220 -1.293 1.106
Cl -4.677 -1.296 -4.311
Cl -2.790 -6.027 5.210
Cl -4.925 -0.031 -0.920
Cl -2.542 -7.293 1.819
Cl -4.065 -3.793 -1.325
Cl -3.402 -3.531 2.224
Cl -1.466 -1.469 -2.140
Cl -6.001 -5.855 3.039
```

## Properties
V: 30.1 A^3/atom
space group: C2/c
ΔE_f (raw): -0.850 eV/atom

---

# Rb3ScBr8

An optimized crystal structure of Rb3ScBr8 (PBE, Alexandria via LeMat-Bulk).

```
12
Lattice="-4.882 5.878 1.307 -2.180 -3.294 6.670 9.176 2.563 -0.239" Properties=species:S:1:pos:R:3 pbc="T T T"
Rb 0.382 4.866 2.528
Rb -3.531 1.292 3.988
Rb 1.732 0.281 5.209
Sc 0.000 0.000 0.000
Br -0.298 1.379 2.507
Br -1.547 -0.508 6.328
Br 5.208 0.401 4.481
Br 6.458 2.288 0.661
Br -4.343 2.859 7.077
Br -3.094 4.746 3.256
Br 3.661 5.655 1.409
Br 2.412 3.769 5.230
```

## Properties
V: 39.0 A^3/atom
space group: I4/mmm
ΔE_f (raw): -1.236 eV/atom

---

# MgCu3Bi

An optimized crystal structure of MgCu3Bi (PBE, Alexandria via LeMat-Bulk).

```
5
Lattice="4.641 0.000 0.000 0.000 4.641 0.000 0.000 0.000 4.641" Properties=species:S:1:pos:R:3 pbc="T T T"
Mg 0.000 0.000 0.000
Bi 2.320 2.320 2.320
Cu 0.000 2.320 0.000
Cu 0.000 0.000 2.320
Cu 2.320 0.000 0.000
```

## Properties
formation energy: 0.742 eV/atom
V: 20.0 A^3/atom
space group: Pm-3m
distance to the lowest polymorph of the same formula: 0.00 eV per formula unit

---

# KMg2Si

An optimized crystal structure of KMg2Si (PBE, Alexandria via LeMat-Bulk).

```
4
Lattice="-4.411 3.731 -1.889 3.008 -2.853 -4.444 -2.017 -2.321 0.125" Properties=species:S:1:pos:R:3 pbc="T T T"
K 0.496 -2.587 -2.160
Mg 0.000 0.000 0.000
Mg -0.701 0.439 -3.167
Si -3.214 0.705 -0.882
```

## Properties
V: 25.8 A^3/atom
space group: Cmmm
ΔE_f (raw): 0.484 eV/atom